1.
ZrNb2ZnN | PBE | relaxed

The calculation puts the density of states at the Fermi level at 3.777 states/eV/f.u. The formation energy from raw total energies comes out at -0.54 eV/atom. The volume comes out at 16.2 Å³/atom.

The space group is P4/mmm (No. 123) and the conventional cell measures 4.216, 4.216 and 4.570 Å, with angles of 90.00, 90.00 and 90.00 degrees. The inequivalent atoms are Zr at (0.000, 0.000, 0.000), Nb at (0.000, 0.500, 0.500), Zn at (0.500, 0.500, 0.000) and N at (0.000, 0.000, 0.500).

---

2.
Zr2ScTaH | PBE | relaxed

The calculation puts the density of states at the Fermi level at 6.774 states/eV/f.u. Its relative energy among the computed polymorphs is 6 meV/atom. The volume comes out at 17.7 Å³/atom.

The space group is P4/mmm (No. 123) and the conventional cell measures 4.465, 4.465 and 4.428 Å, with angles of 90.00, 90.00 and 90.00 degrees. The inequivalent atoms are Zr at (0.000, 0.500, 0.000), Sc at (0.000, 0.000, 0.500), Ta at (0.500, 0.500, 0.500) and H at (0.000, 0.000, 0.000).

---

3.
Pm7Dy3Tm2 | PBE | relaxed

The calculation puts the density of states at the Fermi level at 18.833 states/eV/f.u. The value obtained for the energy relative to the elements is 113 meV/atom. Its relative energy among the computed polymorphs is 37 meV/atom. The volume comes out at 33.1 Å³/atom.

The space group is Cmmm (No. 65) and the conventional cell measures 5.776, 38.112 and 3.614 Å, with angles of 90.00, 90.00 and 90.00 degrees. The inequivalent atoms are Pm at (0.000, 0.000, 0.000), Pm at (0.000, 0.073, 0.500), Pm at (0.000, 0.232, 0.000), Pm at (0.000, 0.407, 0.000), Dy at (0.000, 0.316, 0.500), Dy at (0.000, 0.500, 0.500) and Tm at (0.000, 0.149, 0.000).

---

4.
In7Ga2Pb2 | PBE | relaxed

The calculation puts the density of states at the Fermi level at 4.676 states/eV/f.u. The value obtained for the energy relative to the elements is 50 meV/atom. The volume comes out at 27.3 Å³/atom.

The space group is C2/m (No. 12) and the conventional cell measures 7.526, 9.064 and 9.147 Å, with angles of 90.00, 105.92 and 90.00 degrees. The inequivalent atoms are In at (0.000, 0.000, 0.000), In at (0.097, 0.000, 0.360), In at (0.214, 0.310, 0.162), Ga at (0.098, 0.500, 0.824) and Pb at (0.000, 0.312, 0.500).

---

5.
Cs2HgI | PBE | relaxed

The calculation puts the density of states at the Fermi level at 2.741 states/eV/f.u. The formation energy from raw total energies comes out at -0.79 eV/atom. Its relative energy among the computed polymorphs is 82 meV/atom. The volume comes out at 60.7 Å³/atom.

The space group is R3m (No. 160, hexagonal axes) and the conventional cell measures 5.3444, 5.3444 and 29.4540 Å, with angles of 90.00, 90.00 and 120.00 degrees. The inequivalent atoms are Cs at (0.0000, 0.0000, 0.0000), Cs at (0.0000, 0.0000, 0.1730), Hg at (0.0000, 0.0000, 0.7533) and I at (0.0000, 0.0000, 0.5869).

---

6.
MgP2AuO | PBE | relaxed

The calculation puts the density of states at the Fermi level at 5.868 states/eV/f.u. The formation energy from raw total energies comes out at 0.56 eV/atom. Its relative energy among the computed polymorphs is 130 meV/atom. The volume comes out at 19.4 Å³/atom.

The space group is P4/mmm (No. 123) and the conventional cell measures 4.958, 4.958 and 3.945 Å, with angles of 90.00, 90.00 and 90.00 degrees. The inequivalent atoms are Mg at (0.000, 0.000, 0.000), P at (0.000, 0.500, 0.500), Au at (0.500, 0.500, 0.500) and O at (0.500, 0.500, 0.000).